Entry 1:
First-principles (PBE) data for UNbP2 after structural relaxation, as listed in Alexandria.

The space-group type is R3m (160).

Cell and atoms, written as CIF:
```
data_UNbP2
_cell_length_a 3.5939
_cell_length_b 3.5939
_cell_length_c 7.0852
_cell_angle_alpha 75.31
_cell_angle_beta 75.31
_cell_angle_gamma 60.00
_symmetry_space_group_name_H-M 'P 1'
_symmetry_Int_Tables_number 1
loop_
_symmetry_equiv_pos_as_xyz
'x,y,z'
loop_
_atom_site_label
_atom_site_type_symbol
_atom_site_fract_x
_atom_site_fract_y
_atom_site_fract_z
U1 U 0.6706 0.6706 0.9882
Nb1 Nb 0.4963 0.4963 0.5110
P1 P 0.0928 0.0928 0.7216
P2 P 0.2403 0.2403 0.2792
```



Entry 2:
First-principles (PBE) data for YMn2Re after structural relaxation, as listed in Alexandria.

The space-group type is R3m (160).

Cell and atoms, written as CIF:
```
data_YMn2Re
_cell_length_a 9.0724
_cell_length_b 9.0724
_cell_length_c 9.0724
_cell_angle_alpha 18.83
_cell_angle_beta 18.83
_cell_angle_gamma 18.83
_symmetry_space_group_name_H-M 'P 1'
_symmetry_Int_Tables_number 1
loop_
_symmetry_equiv_pos_as_xyz
'x,y,z'
loop_
_atom_site_label
_atom_site_type_symbol
_atom_site_fract_x
_atom_site_fract_y
_atom_site_fract_z
Mn1 Mn 0.9870 0.9870 0.9870
Mn2 Mn 0.2499 0.2499 0.2499
Re1 Re 0.5133 0.5133 0.5133
Y1 Y 0.7498 0.7498 0.7498
```



The calculation returns the following DOS(E_F) values, one per record and in order: 4.615, 4.799 states/eV per cell.
The calculation returns the following ΔH_f (0 K) values, one per record and in order: -837, 562 meV/atom.